Entry w
The following is a DFT calculation (PBE-GGA) of a geometry-optimized ZrPd2Au structure.

Lattice parameters (Å, degrees): 5.0093 5.0061 4.0997 65.88 65.80 48.33
Element x y z (fractional)
Zr  0.0000  0.0000  0.0000
Pd  0.2500  0.2500  0.2500
Pd  0.7500  0.7500  0.7500
Au  0.5000  0.5000  0.5000

=====

Entry x
The following is a DFT calculation (PBE-GGA) of a geometry-optimized ZrPd2Au structure.

Lattice parameters (Å, degrees): 4.1172 4.1172 4.0881 90.00 90.00 90.00
Element x y z (fractional)
Zr  0.0000  0.0000  0.0000
Pd  0.0000  0.5000  0.5000
Pd  0.5000  0.0000  0.5000
Au  0.5000  0.5000  0.0000

=====

Entry y
The following is a DFT calculation (PBE-GGA) of a geometry-optimized ZrPd2Au structure.

Lattice parameters (Å, degrees): 3.4959 3.4959 5.7783 90.00 90.00 90.00
Element x y z (fractional)
Zr  0.0000  0.0000  0.0000
Pd  0.5000  0.5000  0.2476
Pd  0.5000  0.5000  0.7524
Au  0.0000  0.0000  0.5000

=====

Stability, descending: entry w, entry y, entry x

=====

Entry w
The following is a DFT calculation (PBE-GGA) of a geometry-optimized ZrPdAu3 structure.

Lattice parameters (Å, degrees): 5.1766 5.1766 5.1766 90.00 90.00 90.00
Element x y z (fractional)
Zr  0.0000  0.0000  0.0000
Pd  0.5000  0.5000  0.5000
Au  0.0000  0.0000  0.5000
Au  0.0000  0.5000  0.0000
Au  0.5000  0.0000  0.0000

=====

Entry x
The following is a DFT calculation (PBE-GGA) of a geometry-optimized ZrPdAu3 structure.

Lattice parameters (Å, degrees): 4.8141 7.3807 5.4309 90.00 90.10 90.00
Element x y z (fractional)
Zr  0.1889  0.2500  0.2552
Zr  0.8111  0.7500  0.7448
Pd  0.3359  0.7500  0.4989
Pd  0.6641  0.2500  0.5011
Au  0.1733  0.0631  0.7433
Au  0.1733  0.4369  0.7433
Au  0.3288  0.7500  0.0184
Au  0.6712  0.2500  0.9816
Au  0.8267  0.5631  0.2567
Au  0.8267  0.9369  0.2567

=====

Entry y
The following is a DFT calculation (PBE-GGA) of a geometry-optimized ZrPdAu3 structure.

Lattice parameters (Å, degrees): 4.9545 4.9545 4.9545 90.00 90.00 90.00
Element x y z (fractional)
Zr  0.0000  0.0000  0.0000
Pd  0.5000  0.5000  0.5000
Au  0.0000  0.5000  0.5000
Au  0.5000  0.0000  0.5000
Au  0.5000  0.5000  0.0000

=====

Entry z
The following is a DFT calculation (PBE-GGA) of a geometry-optimized ZrPdAu3 structure.

Lattice parameters (Å, degrees): 4.9644 5.5909 7.0415 90.00 110.41 90.00
Element x y z (fractional)
Zr  0.1032  0.2500  0.2052
Zr  0.8968  0.7500  0.7948
Pd  0.1142  0.7500  0.2325
Pd  0.8858  0.2500  0.7675
Au  0.3072  0.5016  0.6147
Au  0.3072  0.9984  0.6147
Au  0.4976  0.2500  0.9912
Au  0.5024  0.7500  0.0088
Au  0.6928  0.0016  0.3853
Au  0.6928  0.4984  0.3853

=====

Stability, descending: entry z, entry x, entry y, entry w

=====

Entry w
The following is a DFT calculation (PBE-GGA) of a geometry-optimized Zr2Pd4Au structure.

Lattice parameters (Å, degrees): 6.2080 5.1770 8.3139 90.00 108.74 90.00
Element x y z (fractional)
Zr  0.1816  0.2500  0.0782
Zr  0.2285  0.2500  0.5035
Zr  0.7715  0.7500  0.4965
Zr  0.8184  0.7500  0.9218
Pd  0.1246  0.5031  0.7738
Pd  0.1246  0.9969  0.7738
Pd  0.4361  0.7500  0.0465
Pd  0.4385  0.7500  0.6725
Pd  0.5615  0.2500  0.3275
Pd  0.5639  0.2500  0.9535
Pd  0.8754  0.0031  0.2262
Pd  0.8754  0.4969  0.2262
Au  0.2925  0.7500  0.3219
Au  0.7075  0.2500  0.6781

=====

Entry x
The following is a DFT calculation (PBE-GGA) of a geometry-optimized Zr2Pd4Au structure.

Lattice parameters (Å, degrees): 5.2099 5.2099 10.5964 90.00 90.00 117.63
Element x y z (fractional)
Zr  0.1803  0.8197  0.9091
Zr  0.3197  0.6803  0.4091
Zr  0.6803  0.3197  0.5909
Zr  0.8197  0.1803  0.0909
Pd  0.2382  0.2618  0.7500
Pd  0.2476  0.7524  0.6521
Pd  0.2524  0.7476  0.1521
Pd  0.2618  0.2382  0.2500
Pd  0.7382  0.7618  0.7500
Pd  0.7476  0.2524  0.8479
Pd  0.7524  0.2476  0.3479
Pd  0.7618  0.7382  0.2500
Au  0.0000  0.0000  0.5000
Au  0.5000  0.5000  0.0000

=====

Stability, descending: entry w, entry x

=====

Entry w
The following is a DFT calculation (PBE-GGA) of a geometry-optimized ZrPd4Au2 structure.

Lattice parameters (Å, degrees): 5.0677 10.4365 5.0696 90.00 113.89 90.00
Element x y z (fractional)
Zr  0.0000  0.0000  0.0000
Zr  0.0000  0.5000  0.5000
Pd  0.1281  0.2005  0.3671
Pd  0.1281  0.2995  0.8671
Pd  0.3814  0.6867  0.6464
Pd  0.3814  0.8133  0.1464
Pd  0.6186  0.1867  0.8536
Pd  0.6186  0.3133  0.3536
Pd  0.8719  0.7005  0.1329
Pd  0.8719  0.7995  0.6329
Au  0.3347  0.5465  0.1469
Au  0.3347  0.9535  0.6469
Au  0.6653  0.0465  0.3531
Au  0.6653  0.4535  0.8531

=====

Entry x
The following is a DFT calculation (PBE-GGA) of a geometry-optimized ZrPd4Au2 structure.

Lattice parameters (Å, degrees): 5.7249 6.4333 7.6071 114.70 100.51 103.10
Element x y z (fractional)
Zr  0.0000  0.0000  0.0000
Zr  0.3683  0.8669  0.5790
Pd  0.0805  0.5869  0.7116
Pd  0.1527  0.1505  0.4297
Pd  0.5089  0.0072  0.9997
Pd  0.5838  0.5930  0.7137
Pd  0.6630  0.1564  0.4412
Pd  0.7345  0.7340  0.1435
Pd  0.8751  0.8769  0.5787
Pd  0.9476  0.4444  0.2890
Au  0.2419  0.7358  0.1518
Au  0.3022  0.3060  0.8604
Au  0.4547  0.4351  0.2945
Au  0.8008  0.3043  0.8658

=====

Entry y
The following is a DFT calculation (PBE-GGA) of a geometry-optimized ZrPd4Au2 structure.

Lattice parameters (Å, degrees): 7.4296 7.4296 7.4296 141.23 141.23 55.99
Element x y z (fractional)
Zr  0.0000  0.0000  0.0000
Pd  0.0000  0.5000  0.5000
Pd  0.1866  0.1866  0.0000
Pd  0.5000  0.0000  0.5000
Pd  0.8134  0.8134  0.0000
Au  0.3921  0.3921  0.0000
Au  0.6079  0.6079  0.0000

=====

Stability, descending: entry x, entry w, entry y

=====

Entry w
The following is a DFT calculation (PBE-GGA) of a geometry-optimized Zr2Pd3Au3 structure.

Lattice parameters (Å, degrees): 5.1758 5.1758 13.6231 90.00 90.00 124.69
Element x y z (fractional)
Zr  0.2401  0.7599  0.6068
Zr  0.2401  0.7599  0.8932
Zr  0.7599  0.2401  0.1068
Zr  0.7599  0.2401  0.3932
Pd  0.3992  0.6008  0.0704
Pd  0.3992  0.6008  0.4296
Pd  0.4428  0.5572  0.7500
Pd  0.5572  0.4428  0.2500
Pd  0.6008  0.3992  0.5704
Pd  0.6008  0.3992  0.9296
Au  0.0809  0.9191  0.0849
Au  0.0809  0.9191  0.4151
Au  0.2471  0.7529  0.2500
Au  0.7529  0.2471  0.7500
Au  0.9191  0.0809  0.5849
Au  0.9191  0.0809  0.9151

=====

Entry x
The following is a DFT calculation (PBE-GGA) of a geometry-optimized Zr2Pd3Au3 structure.

Lattice parameters (Å, degrees): 5.2327 5.2327 5.2327 90.15 90.15 90.15
Element x y z (fractional)
Zr  0.2468  0.2468  0.2468
Zr  0.7532  0.7532  0.7532
Pd  0.0000  0.2499  0.7501
Pd  0.2499  0.7501  0.0000
Pd  0.7501  0.0000  0.2499
Au  0.2480  0.7520  0.5000
Au  0.5000  0.2480  0.7520
Au  0.7520  0.5000  0.2480

=====

Stability, descending: entry x, entry w

=====

Entry w
The following is a DFT calculation (PBE-GGA) of a geometry-optimized Zr2Pd7Au3 structure.

Lattice parameters (Å, degrees): 4.0544 3.6193 15.0557 90.00 97.67 90.00
Element x y z (fractional)
Zr  0.1379  0.0000  0.2752
Zr  0.8621  0.0000  0.7248
Pd  0.0725  0.5000  0.1449
Pd  0.2229  0.0000  0.4452
Pd  0.4242  0.0000  0.8487
Pd  0.5000  0.5000  0.0000
Pd  0.5758  0.0000  0.1513
Pd  0.7771  0.0000  0.5548
Pd  0.9275  0.5000  0.8551
Au  0.0000  0.0000  0.0000
Au  0.3121  0.5000  0.6253
Au  0.6879  0.5000  0.3747

=====

Entry x
The following is a DFT calculation (PBE-GGA) of a geometry-optimized Zr2Pd7Au3 structure.

Lattice parameters (Å, degrees): 4.2809 4.9985 11.0249 77.10 89.78 67.65
Element x y z (fractional)
Zr  0.2072  0.0977  0.2846
Zr  0.7928  0.9023  0.7154
Pd  0.0000  0.5000  0.0000
Pd  0.0907  0.2563  0.7831
Pd  0.1636  0.1755  0.5375
Pd  0.4482  0.5989  0.8573
Pd  0.5518  0.4011  0.1427
Pd  0.8364  0.8245  0.4625
Pd  0.9093  0.7437  0.2169
Au  0.4635  0.5425  0.6199
Au  0.5000  0.0000  0.0000
Au  0.5365  0.4575  0.3801

=====

Stability, descending: entry x, entry w

=====

Entry w
The following is a DFT calculation (PBE-GGA) of a geometry-optimized Zr3PdAu structure.

Lattice parameters (Å, degrees): 5.0266 5.0266 5.0266 90.00 90.00 90.00
Element x y z (fractional)
Zr  0.0000  0.0000  0.5000
Zr  0.0000  0.5000  0.0000
Zr  0.5000  0.0000  0.0000
Pd  0.0000  0.0000  0.0000
Au  0.5000  0.5000  0.5000

=====

Entry x
The following is a DFT calculation (PBE-GGA) of a geometry-optimized Zr3PdAu structure.

Lattice parameters (Å, degrees): 7.6610 7.6610 7.8056 106.27 106.27 77.69
Element x y z (fractional)
Zr  0.0250  0.6979  0.8890
Zr  0.0354  0.6803  0.4777
Zr  0.2902  0.3261  0.8993
Zr  0.3021  0.9750  0.6110
Zr  0.3197  0.9646  0.0223
Zr  0.3261  0.2902  0.3993
Zr  0.6739  0.7098  0.6007
Zr  0.6803  0.0354  0.9777
Zr  0.6979  0.0250  0.3890
Zr  0.7098  0.6739  0.1007
Zr  0.9646  0.3197  0.5223
Zr  0.9750  0.3021  0.1110
Pd  0.1984  0.5712  0.2011
Pd  0.4288  0.8016  0.2989
Pd  0.5712  0.1984  0.7011
Pd  0.8016  0.4288  0.7989
Au  0.0352  0.9648  0.2500
Au  0.3947  0.6053  0.7500
Au  0.6053  0.3947  0.2500
Au  0.9648  0.0352  0.7500

=====

Stability, descending: entry x, entry w

=====

Entry w
The following is a DFT calculation (PBE-GGA) of a geometry-optimized ZrPd6Au2 structure.

Lattice parameters (Å, degrees): 4.9292 4.9292 8.4657 106.30 106.30 49.21
Element x y z (fractional)
Zr  0.0000  0.0000  0.0000
Pd  0.0052  0.0052  0.3306
Pd  0.3378  0.3378  0.1131
Pd  0.3376  0.3376  0.4468
Pd  0.6624  0.6624  0.5532
Pd  0.6622  0.6622  0.8869
Pd  0.9948  0.9948  0.6694
Au  0.3257  0.3257  0.7722
Au  0.6743  0.6743  0.2278

=====

Entry x
The following is a DFT calculation (PBE-GGA) of a geometry-optimized ZrPd6Au2 structure.

Lattice parameters (Å, degrees): 8.4603 8.4603 4.1355 90.00 90.00 90.00
Element x y z (fractional)
Zr  0.0000  0.0000  0.0000
Zr  0.5000  0.5000  0.5000
Pd  0.0046  0.3316  0.0000
Pd  0.1608  0.8392  0.5000
Pd  0.1684  0.5046  0.5000
Pd  0.3316  0.0046  0.0000
Pd  0.3392  0.3392  0.0000
Pd  0.4954  0.8316  0.5000
Pd  0.5046  0.1684  0.5000
Pd  0.6608  0.6608  0.0000
Pd  0.6684  0.9954  0.0000
Pd  0.8316  0.4954  0.5000
Pd  0.8392  0.1608  0.5000
Pd  0.9954  0.6684  0.0000
Au  0.1729  0.1729  0.5000
Au  0.3271  0.6729  0.0000
Au  0.6729  0.3271  0.0000
Au  0.8271  0.8271  0.5000

=====

Stability, descending: entry x, entry w